The following is a PBE calculation of a relaxed structure of TbAlZn2Au, from Alexandria.

Results
- density (kg/m³) = 8868
- formation enthalpy at 0 K (meV per atom) = -494
- total DFT energy (no corrections) (eV/atom) = -3.33

```
data_TbAlZn2Au
_symmetry_space_group_name_H-M 'I m m 2'
_symmetry_Int_Tables_number 44
_symmetry_space_group_name_Hall 'I 2 -2'
_cell_length_a 3.978
_cell_length_b 4.170
_cell_length_c 11.598
_cell_angle_alpha 90.00
_cell_angle_beta 90.00
_cell_angle_gamma 90.00
loop_
_atom_site_label
_atom_site_type_symbol
_atom_site_fract_x
_atom_site_fract_y
_atom_site_fract_z
Tb1 Tb 0.000 0.000 0.000
Al1 Al 0.000 0.500 0.744
Zn1 Zn 0.000 0.000 0.610
Zn2 Zn 0.000 0.500 0.245
Au1 Au 0.000 0.000 0.389
```